Record 1
This record from Alexandria via LeMat-Bulk describes a geometry-optimized CsPmAlSe4 structure. The functional is PBE.

a = 7.3056 Å, b = 6.0780 Å, c = 10.3081 Å
α = 90.00°, β = 104.87°, γ = 90.00°
Last column: nearest neighbours and their distance in Å.
Element x y z (fractional)
Cs1 0.2486 0.2500 0.0429  7 Se 3.56-3.88
Cs2 0.7514 0.7500 0.9571  7 Se 3.56-3.88
Pm1 0.2501 0.2500 0.5520  8 Se 2.96-3.25
Pm2 0.7499 0.7500 0.4480  8 Se 2.96-3.25
Al1 0.2591 0.7500 0.3373  4 Se 2.34-2.44
Al2 0.7409 0.2500 0.6627  4 Se 2.34-2.44
Se1 0.0029 0.5116 0.6994  1 Al 2.44
Se2 0.0029 0.9884 0.6994  1 Al 2.44
Se3 0.4138 0.7500 0.5700  1 Al 2.38
Se4 0.4552 0.7500 0.1904  1 Al 2.34
Se5 0.5448 0.2500 0.8096  1 Al 2.34
Se6 0.5862 0.2500 0.4300  1 Al 2.38
Se7 0.9971 0.0116 0.3006  1 Al 2.44
Se8 0.9971 0.4884 0.3006  1 Al 2.44

## Properties
- Formation energy (no corrections): -1.31 eV/atom

***

Record 2
This record from Alexandria via LeMat-Bulk describes a geometry-optimized LiMo2Se structure. The functional is PBE.

a = 4.4637 Å, b = 4.4637 Å, c = 4.8268 Å
α = 99.79°, β = 99.79°, γ = 40.91°
Last column: nearest neighbours and their distance in Å.
Element x y z (fractional)
Li1 0.0000 0.0000 0.0000  3 Se 2.47-2.58, 1 Mo 2.57
Mo1 0.2416 0.2416 0.7367  1 Mo 2.44, 1 Li 2.57, 2 Se 2.65
Mo2 0.4695 0.4695 0.4851  1 Mo 2.44, 2 Se 2.68
Se1 0.7426 0.7426 0.1807  3 Li 2.47-2.58, 4 Mo 2.65-2.68

## Properties
- Formation energy (no corrections): 0.21 eV/atom

***

Record 3
This record from Alexandria via LeMat-Bulk describes a geometry-optimized TlCoAu2 structure. The functional is PBE.

a = 8.9470 Å, b = 8.9470 Å, c = 8.9470 Å
α = 20.08°, β = 20.08°, γ = 20.08°
Last column: nearest neighbours and their distance in Å.
Element x y z (fractional)
Tl1 0.0000 0.0000 0.0000  3 Co 2.77, 3 Au 3.06
Co1 0.2532 0.2532 0.2532  3 Au 2.63, 3 Tl 2.77
Au1 0.5138 0.5138 0.5138  3 Co 2.63, 3 Au 2.90
Au2 0.7606 0.7606 0.7606  9 Au 2.90-3.12, 3 Tl 3.06

## Properties
- Energy relative to the elements: 0.401 eV/atom

***

Record 4
This record from Alexandria via LeMat-Bulk describes a geometry-optimized NbIn2Br structure. The functional is PBE.

a = 7.3136 Å, b = 7.3136 Å, c = 7.3136 Å
α = 96.88°, β = 96.88°, γ = 139.51°
Last column: nearest neighbours and their distance in Å.
Element x y z (fractional)
Nb1 0.0000 0.0000 0.0000  2 Br 2.53
Nb2 0.7500 0.2500 0.5000  2 Br 2.53
In1 0.0218 0.1250 0.3968  2 Nb 2.88, 2 In 3.23
In2 0.3750 0.9782 0.1032  2 Nb 2.88, 2 In 3.23
In3 0.7282 0.6250 0.6032  2 Nb 2.88, 2 In 3.23
In4 0.8750 0.2718 0.8968  2 Nb 2.88, 2 In 3.23
Br1 0.2500 0.7500 0.5000  2 Nb 2.53
Br2 0.5000 0.5000 0.0000  2 Nb 2.53

## Properties
- Formation energy (no corrections): 0.43 eV/atom